Compound: TlAgAu2
Source: OQMD via LeMat-Bulk
Functional: GGA-PBE
Structure: relaxed

Cell and atoms, written as POSCAR:
```
TlAgAu2
1.0
0.136 0.720 4.785
-3.015 3.180 2.056
-3.635 -1.565 2.787
Au Tl Ag
2 1 1
direct
0.750 0.750 0.750
0.000 0.000 0.000
0.500 0.500 0.500
0.250 0.250 0.250
```

Properties
* total energy: -2.86 eV per atom
* space-group type: F-43m (216)